Density functional theory data (meta-GGA SCAN) for YZn at its PBEsol-relaxed geometry.

Unit cell a=3.536 b=3.536 c=4.410 alpha=90.00 beta=90.00 gamma=120.00
Sites, in units of the cell vectors:
Zn: 0.667 0.333 0.500
Y: 0.000 0.000 0.000

Results
Total magnetic moment   0.00 μB/cell
N(E_F)   2.53 states/eV/cell
Energy   -1.52438 Ry per atom
Formation energy   -6 kJ/mol of atoms


Density functional theory data (meta-GGA SCAN) for Y2Zn at its PBEsol-relaxed geometry.

Unit cell a=3.691 b=6.649 c=6.615 alpha=90.01 beta=90.00 gamma=106.12
Site moments in Bohr magnetons follow the coordinates.
Sites, in units of the cell vectors:
Zn: 0.983 0.967 0.502  0.01
Y: 0.065 0.130 0.936  0.14
Y: 0.383 0.766 0.229  0.11
Y: 0.339 0.678 0.729  0.11
Zn: 0.739 0.478 0.002  0.01
Y: 0.657 0.315 0.435  0.14

Results
Total magnetic moment   0.89 μB/cell
N(E_F)   6.46 states/eV/cell
Energy   -1.71307 Ry per atom
Formation energy   -23 kJ/mol of atoms


Density functional theory data (meta-GGA SCAN) for Y4Zn at its PBEsol-relaxed geometry.

Unit cell a=3.590 b=6.396 c=12.410 alpha=92.32 beta=90.00 gamma=106.30
Site moments in Bohr magnetons follow the coordinates.
Sites, in units of the cell vectors:
Zn: 0.253 0.506 0.750  0.01
Y: 0.852 0.704 0.926  0.15
Zn: 0.747 0.494 0.250  0.01
Y: 0.148 0.296 0.074  0.15
Y: 0.348 0.696 0.425  -0.05
Y: 0.582 0.164 0.839  0.19
Y: 0.418 0.836 0.161  0.19
Y: 0.922 0.844 0.659  0.05
Y: 0.652 0.304 0.575  -0.05
Y: 0.078 0.156 0.341  0.05

Results
Energy above the lowest structure with this stoichiometry   0.000 eV per atom
Total magnetic moment   1.00 μB/cell
N(E_F)   9.81 states/eV/cell
Energy   -1.84819 Ry per atom
Formation energy   -16 kJ/mol of atoms


Density functional theory data (meta-GGA SCAN) for Y2Zn at its PBEsol-relaxed geometry.

Unit cell a=3.818 b=5.321 c=7.842 alpha=90.00 beta=104.09 gamma=90.00
Sites, in units of the cell vectors:
Y: 0.368 0.250 0.735
Y: 0.632 0.750 0.265
Zn: 0.278 0.750 0.555
Y: 0.068 0.250 0.136
Y: 0.932 0.750 0.864
Zn: 0.722 0.250 0.445

Results
Total magnetic moment   0.00 μB/cell
N(E_F)   4.88 states/eV/cell
Energy   -1.70551 Ry per atom
Formation energy   -13 kJ/mol of atoms


Density functional theory data (meta-GGA SCAN) for Y3Zn at its PBEsol-relaxed geometry.

Unit cell a=3.533 b=3.533 c=10.330 alpha=80.15 beta=80.15 gamma=60.00
Sites, in units of the cell vectors:
Y: 0.500 0.500 0.500
Y: 0.738 0.738 0.785
Zn: 0.000 0.000 0.000
Y: 0.262 0.262 0.215

Results
Total magnetic moment   0.00 μB/cell
N(E_F)   4.01 states/eV/cell
Energy   -1.78788 Ry per atom
Formation energy   -6 kJ/mol of atoms


Density functional theory data (meta-GGA SCAN) for Y6Zn23 at its PBEsol-relaxed geometry.

Unit cell a=8.810 b=8.810 c=8.810 alpha=60.00 beta=60.00 gamma=60.00
Sites, in units of the cell vectors:
Y: 0.708 0.708 0.292
Y: 0.708 0.292 0.708
Zn: 0.123 0.123 0.123
Zn: 0.369 0.877 0.877
Zn: 0.000 0.000 0.500
Zn: 0.877 0.877 0.369
Zn: 0.328 0.328 0.016
Zn: 0.123 0.123 0.631
Zn: 0.500 0.000 0.500
Zn: 0.877 0.877 0.877
Zn: 0.984 0.672 0.672
Y: 0.292 0.708 0.292
Zn: 0.328 0.016 0.328
Zn: 0.631 0.123 0.123
Zn: 0.672 0.672 0.984
Y: 0.292 0.708 0.708
Zn: 0.672 0.984 0.672
Zn: 0.016 0.328 0.328
Zn: 0.500 0.500 0.000
Zn: 0.500 0.000 0.000
Zn: 0.877 0.369 0.877
Y: 0.708 0.292 0.292
Zn: 0.328 0.328 0.328
Y: 0.292 0.292 0.708
Zn: 0.123 0.631 0.123
Zn: 0.672 0.672 0.672
Zn: 0.000 0.500 0.500
Zn: 0.000 0.500 0.000
Zn: 0.000 0.000 0.000

Results
Total magnetic moment   0.00 μB/cell
N(E_F)   9.11 states/eV/cell
Energy   -1.24050 Ry per atom
Formation energy   -38 kJ/mol of atoms


Density functional theory data (meta-GGA SCAN) for YZn3 at its PBEsol-relaxed geometry.

Unit cell a=4.314 b=6.564 c=9.905 alpha=90.00 beta=90.00 gamma=90.00
Sites, in units of the cell vectors:
Zn: 0.250 0.038 0.606
Zn: 0.250 0.538 0.894
Zn: 0.250 0.222 0.044
Zn: 0.250 0.722 0.456
Zn: 0.750 0.278 0.544
Zn: 0.750 0.962 0.394
Zn: 0.250 0.419 0.646
Zn: 0.750 0.778 0.956
Zn: 0.750 0.581 0.354
Zn: 0.750 0.462 0.106
Y: 0.250 0.777 0.161
Zn: 0.250 0.919 0.854
Y: 0.750 0.723 0.661
Y: 0.250 0.277 0.339
Y: 0.750 0.223 0.839
Zn: 0.750 0.081 0.146

Results
Total magnetic moment   0.00 μB/cell
N(E_F)   7.50 states/eV/cell
Energy   -1.29082 Ry per atom
Formation energy   -45 kJ/mol of atoms


Density functional theory data (meta-GGA SCAN) for Y3Zn at its PBEsol-relaxed geometry.

Unit cell a=3.517 b=3.517 c=8.531 alpha=90.00 beta=90.00 gamma=90.00
Sites, in units of the cell vectors:
Y: 0.500 0.500 0.500
Y: 0.000 0.000 0.204
Zn: 0.500 0.500 0.000
Y: 0.000 0.000 0.796

Results
Total magnetic moment   0.00 μB/cell
N(E_F)   3.88 states/eV/cell
Energy   -1.79777 Ry per atom
Formation energy   -19 kJ/mol of atoms


Density functional theory data (meta-GGA SCAN) for YZn13 at its PBEsol-relaxed geometry.

Unit cell a=8.414 b=8.414 c=8.414 alpha=60.00 beta=60.00 gamma=60.00
Sites, in units of the cell vectors:
Zn: 0.800 0.200 0.442
Zn: 0.558 0.200 0.800
Y: 0.750 0.750 0.750
Zn: 0.058 0.300 0.700
Zn: 0.700 0.300 0.942
Zn: 0.442 0.800 0.200
Zn: 0.300 0.700 0.058
Zn: 0.800 0.442 0.558
Zn: 0.200 0.558 0.442
Zn: 0.300 0.942 0.700
Zn: 0.942 0.300 0.058
Zn: 0.558 0.800 0.442
Zn: 0.000 0.000 0.000
Zn: 0.200 0.442 0.800
Zn: 0.500 0.500 0.500
Zn: 0.942 0.058 0.700
Zn: 0.558 0.442 0.200
Zn: 0.942 0.700 0.300
Zn: 0.700 0.058 0.300
Zn: 0.058 0.700 0.942
Zn: 0.800 0.558 0.200
Y: 0.250 0.250 0.250
Zn: 0.300 0.058 0.942
Zn: 0.700 0.942 0.058
Zn: 0.442 0.200 0.558
Zn: 0.058 0.942 0.300
Zn: 0.442 0.558 0.800
Zn: 0.200 0.800 0.558

Results
Total magnetic moment   0.00 μB/cell
N(E_F)   6.69 states/eV/cell
Energy   -1.08414 Ry per atom
Formation energy   -20 kJ/mol of atoms


Density functional theory data (meta-GGA SCAN) for YZn3 at its PBEsol-relaxed geometry.

Unit cell a=3.311 b=4.416 c=5.195 alpha=90.00 beta=89.94 gamma=90.00
Sites, in units of the cell vectors:
Zn: 0.500 0.500 0.747
Zn: 0.500 0.000 0.500
Zn: 0.500 0.500 0.253
Y: 0.000 0.000 0.000

Results
Total magnetic moment   0.00 μB/cell
N(E_F)   2.00 states/eV/cell
Energy   -1.27548 Ry per atom
Formation energy   -25 kJ/mol of atoms


Density functional theory data (meta-GGA SCAN) for Y2Zn at its PBEsol-relaxed geometry.

Unit cell a=3.060 b=5.118 c=5.118 alpha=120.00 beta=90.00 gamma=90.00
Sites, in units of the cell vectors:
Y: 0.000 0.667 0.333
Y: 0.000 0.333 0.667
Zn: 0.500 0.000 0.000

Results
Total magnetic moment   0.00 μB/cell
N(E_F)   2.16 states/eV/cell
Energy   -1.68399 Ry per atom
Formation energy   15 kJ/mol of atoms


Density functional theory data (meta-GGA SCAN) for Y7Zn3 at its PBEsol-relaxed geometry.

Unit cell a=3.572 b=5.163 c=13.778 alpha=90.00 beta=97.45 gamma=90.00
Sites, in units of the cell vectors:
Zn: 0.593 0.000 0.185
Zn: 0.865 0.500 0.731
Y: 0.088 0.500 0.176
Y: 0.006 0.000 0.011
Y: 0.180 0.000 0.361
Y: 0.469 0.500 0.938
Y: 0.794 0.000 0.587
Y: 0.392 0.000 0.783
Zn: 0.679 0.500 0.358
Y: 0.268 0.500 0.536

Results
Total magnetic moment   0.02 μB/cell
N(E_F)   12.13 states/eV/cell
Energy   -1.74313 Ry per atom
Formation energy   -17 kJ/mol of atoms


Density functional theory data (meta-GGA SCAN) for Y2Zn at its PBEsol-relaxed geometry.

Unit cell a=3.554 b=6.276 c=7.382 alpha=76.41 beta=76.07 gamma=73.55
Site moments in Bohr magnetons follow the coordinates.
Sites, in units of the cell vectors:
Zn: 0.622 0.420 0.335  0.01
Y: 0.910 0.824 0.356  0.09
Y: 0.656 0.748 0.940  0.14
Zn: 0.378 0.580 0.665  0.01
Y: 0.344 0.252 0.060  0.14
Y: 0.090 0.176 0.644  0.09

Results
Total magnetic moment   0.75 μB/cell
N(E_F)   5.85 states/eV/cell
Energy   -1.71374 Ry per atom
Formation energy   -24 kJ/mol of atoms


Density functional theory data (meta-GGA SCAN) for YZn at its PBEsol-relaxed geometry.

Unit cell a=3.518 b=3.518 c=3.518 alpha=90.00 beta=90.00 gamma=90.00
Sites, in units of the cell vectors:
Y: 0.000 0.000 0.000
Zn: 0.500 0.500 0.500

Results
Total magnetic moment   0.01 μB/cell
N(E_F)   1.83 states/eV/cell
Energy   -1.55350 Ry per atom
Formation energy   -44 kJ/mol of atoms


Density functional theory data (meta-GGA SCAN) for Y3Zn at its PBEsol-relaxed geometry.

Unit cell a=3.625 b=5.183 c=6.435 alpha=113.75 beta=106.36 gamma=90.00
Sites, in units of the cell vectors:
Y: 0.289 0.289 0.578
Y: 0.500 0.000 0.000
Zn: 0.000 0.500 0.000
Y: 0.711 0.711 0.422

Results
Total magnetic moment   0.00 μB/cell
N(E_F)   3.76 states/eV/cell
Energy   -1.79803 Ry per atom
Formation energy   -20 kJ/mol of atoms


Density functional theory data (meta-GGA SCAN) for Y5Zn4 at its PBEsol-relaxed geometry.

Unit cell a=6.446 b=8.674 c=8.674 alpha=120.00 beta=90.00 gamma=90.00
Sites, in units of the cell vectors:
Zn: 0.750 0.625 0.625
Zn: 0.250 0.375 0.375
Zn: 0.250 0.625 0.000
Y: 0.250 0.713 0.713
Y: 0.250 0.287 0.000
Zn: 0.750 0.375 0.000
Y: 0.500 0.667 0.333
Y: 0.750 0.713 0.000
Zn: 0.250 0.000 0.625
Y: 0.000 0.333 0.667
Zn: 0.750 0.000 0.375
Y: 0.750 0.000 0.713
Zn: 0.000 0.000 0.000
Y: 0.000 0.667 0.333
Y: 0.500 0.333 0.667
Y: 0.750 0.287 0.287
Zn: 0.500 0.000 0.000
Y: 0.250 0.000 0.287

Results
Total magnetic moment   0.00 μB/cell
N(E_F)   23.15 states/eV/cell
Energy   -1.60138 Ry per atom
Formation energy   -30 kJ/mol of atoms


Density functional theory data (meta-GGA SCAN) for Y4Zn at its PBEsol-relaxed geometry.

Unit cell a=5.819 b=5.819 c=5.819 alpha=109.47 beta=109.47 gamma=109.47
Site moments in Bohr magnetons follow the coordinates.
Sites, in units of the cell vectors:
Y: 0.000 0.000 0.500  0.46
Y: 0.500 0.000 0.000  0.46
Y: 0.000 0.500 0.000  0.46
Zn: 0.000 0.000 0.000  0.01
Y: 0.500 0.500 0.500  0.46

Results
Energy above the lowest structure with this stoichiometry   0.457 eV per atom
Total magnetic moment   2.61 μB/cell
N(E_F)   7.08 states/eV/cell
Energy   -1.81459 Ry per atom
Formation energy   28 kJ/mol of atoms


Density functional theory data (meta-GGA SCAN) for YZn at its PBEsol-relaxed geometry.

Unit cell a=6.094 b=8.636 c=10.156 alpha=90.00 beta=90.00 gamma=90.00
Sites, in units of the cell vectors:
Zn: 0.250 0.953 0.080
Zn: 0.750 0.622 0.626
Y: 0.500 0.250 0.110
Zn: 0.750 0.047 0.920
Zn: 0.500 0.750 0.436
Zn: 0.500 0.250 0.564
Y: 0.000 0.750 0.890
Y: 0.250 0.041 0.374
Y: 0.500 0.750 0.890
Zn: 0.250 0.878 0.626
Zn: 0.000 0.250 0.564
Y: 0.750 0.459 0.374
Y: 0.250 0.131 0.805
Y: 0.000 0.250 0.110
Y: 0.250 0.631 0.195
Y: 0.750 0.959 0.626
Zn: 0.000 0.750 0.436
Y: 0.750 0.869 0.195
Zn: 0.750 0.122 0.374
Zn: 0.250 0.378 0.374
Y: 0.750 0.369 0.805
Y: 0.250 0.541 0.626
Zn: 0.250 0.453 0.920
Zn: 0.750 0.547 0.080

Results
Total magnetic moment   0.00 μB/cell
N(E_F)   21.07 states/eV/cell
Energy   -1.54576 Ry per atom
Formation energy   -34 kJ/mol of atoms


Density functional theory data (meta-GGA SCAN) for Y3Zn5 at its PBEsol-relaxed geometry.

Unit cell a=4.703 b=5.995 c=5.995 alpha=108.79 beta=90.00 gamma=90.00
Sites, in units of the cell vectors:
Zn: 0.000 0.000 0.000
Zn: 0.500 0.740 0.740
Y: 0.000 0.500 0.500
Zn: 0.000 0.000 0.500
Zn: 0.500 0.260 0.260
Y: 0.500 0.777 0.223
Y: 0.500 0.223 0.777
Zn: 0.000 0.500 0.000

Results
Total magnetic moment   0.00 μB/cell
N(E_F)   3.65 states/eV/cell
Energy   -1.41464 Ry per atom
Formation energy   -35 kJ/mol of atoms


Density functional theory data (meta-GGA SCAN) for Y2Zn at its PBEsol-relaxed geometry.

Unit cell a=5.862 b=5.862 c=5.862 alpha=107.42 beta=107.42 gamma=113.66
Site moments in Bohr magnetons follow the coordinates.
Sites, in units of the cell vectors:
Y: 0.675 0.825 0.500  0.29
Y: 0.325 0.175 0.500  0.29
Y: 0.825 0.325 0.151  0.29
Zn: 0.250 0.250 0.000  0.00
Zn: 0.750 0.750 0.000  0.00
Y: 0.175 0.675 0.849  0.29

Results
Total magnetic moment   1.99 μB/cell
N(E_F)   3.13 states/eV/cell
Energy   -1.71488 Ry per atom
Formation energy   -26 kJ/mol of atoms


Density functional theory data (meta-GGA SCAN) for Y2Zn at its PBEsol-relaxed geometry.

Unit cell a=4.587 b=7.563 c=7.563 alpha=120.00 beta=90.00 gamma=90.00
Sites, in units of the cell vectors:
Zn: 0.500 0.000 0.000
Zn: 0.000 0.667 0.333
Y: 0.000 0.735 0.735
Y: 0.000 0.265 0.000
Zn: 0.000 0.333 0.667
Y: 0.500 0.599 0.000
Y: 0.500 0.000 0.599
Y: 0.000 0.000 0.265
Y: 0.500 0.401 0.401

Results
Total magnetic moment   0.01 μB/cell
N(E_F)   10.67 states/eV/cell
Energy   -1.71294 Ry per atom
Formation energy   -23 kJ/mol of atoms


Density functional theory data (meta-GGA SCAN) for YZn at its PBEsol-relaxed geometry.

Unit cell a=3.549 b=3.549 c=8.781 alpha=90.00 beta=90.00 gamma=120.00
Sites, in units of the cell vectors:
Y: 0.667 0.333 0.164
Zn: 0.667 0.333 0.587
Y: 0.333 0.667 0.836
Zn: 0.333 0.667 0.413

Results
Total magnetic moment   0.00 μB/cell
N(E_F)   3.87 states/eV/cell
Energy   -1.52097 Ry per atom
Formation energy   -1 kJ/mol of atoms


Density functional theory data (meta-GGA SCAN) for YZn at its PBEsol-relaxed geometry.

Unit cell a=4.495 b=4.495 c=4.495 alpha=60.00 beta=60.00 gamma=60.00
Sites, in units of the cell vectors:
Zn: 0.250 0.250 0.250
Y: 0.000 0.000 0.000

Results
Total magnetic moment   0.00 μB/cell
N(E_F)   2.49 states/eV/cell
Energy   -1.47717 Ry per atom
Formation energy   56 kJ/mol of atoms